No. 1
A relaxed structure of TlCrTc3. Source: Alexandria via LeMat-Bulk, functional GGA-PBEsol.

```
TlCrTc3
1.0
-0.703 -4.083 1.534
4.043 -1.193 -1.324
1.638 1.193 3.926
Tc Tl Cr
3 1 1
direct
0.000 0.500 0.000 Tc
0.500 0.000 0.000 Tc
0.000 0.000 0.500 Tc
0.500 0.500 0.500 Tl
0.000 0.000 0.000 Cr
```

Results
SG: Pm-3m (221)
Calculated volume in Å³/atom: 17.25
Energy relative to the elements in eV/atom: 1.257

No. 2
A relaxed structure of TlCr2Tc. Source: Alexandria via LeMat-Bulk, functional GGA-PBEsol.

```
TlCr2Tc
1.0
2.985 0.000 0.000
0.000 2.985 0.000
0.000 0.000 6.752
Cr Tl Tc
2 1 1
direct
0.000 0.000 0.793 Cr
0.000 0.000 0.207 Cr
0.500 0.500 0.500 Tl
0.500 0.500 0.000 Tc
```

Results
SG: P4/mmm (123)
Calculated volume in Å³/atom: 15.04
Energy relative to the elements in eV/atom: 0.492

No. 3
A relaxed structure of V2CrTc. Source: Alexandria via LeMat-Bulk, functional GGA-PBEsol.

```
V2CrTc
1.0
-3.771 0.696 -1.589
-1.928 -2.980 -2.151
-3.315 -1.909 1.611
V Tc Cr
2 1 1
direct
0.750 0.750 0.750 V
0.250 0.250 0.250 V
0.000 0.000 0.000 Tc
0.500 0.500 0.500 Cr
```

Results
SG: Fm-3m (225)
Calculated volume in Å³/atom: 12.64
Energy relative to the elements in eV/atom: -0.246

No. 4
A relaxed structure of Cr2TcW. Source: Alexandria via LeMat-Bulk, functional GGA-PBEsol.

```
Cr2TcW
1.0
-1.798 1.804 3.331
-2.846 -2.108 2.245
0.942 -1.325 3.865
W Cr Tc
1 2 1
direct
0.500 0.500 0.500 W
0.750 0.750 0.750 Cr
0.250 0.250 0.250 Cr
0.000 0.000 0.000 Tc
```

Results
SG: Fm-3m (225)
Energy above the most stable polymorph in this dataset in eV per atom: 0.0165
Calculated volume in Å³/atom: 13.03
Energy relative to the elements in eV/atom: 0.086

No. 5
A relaxed structure of Cr2TcW. Source: Alexandria via LeMat-Bulk, functional GGA-PBEsol.

```
Cr2TcW
1.0
2.966 0.000 0.000
0.000 4.209 0.000
-1.483 -2.104 4.191
W Cr Tc
1 2 1
direct
0.745 0.245 0.490 W
0.995 0.995 0.990 Cr
0.257 0.757 0.514 Cr
0.503 0.503 0.006 Tc
```

Results
SG: Imm2 (44)
Energy above the most stable polymorph in this dataset in eV per atom: 0.0047
Calculated volume in Å³/atom: 13.08
Energy relative to the elements in eV/atom: 0.074

No. 6
A relaxed structure of Cr2TcW. Source: Alexandria via LeMat-Bulk, functional GGA-PBEsol.

```
Cr2TcW
1.0
4.206 0.000 0.000
2.103 3.643 0.000
2.103 1.214 3.435
Cr W Tc
2 1 1
direct
0.750 0.750 0.750 Cr
0.000 0.000 0.000 Cr
0.250 0.250 0.250 W
0.500 0.500 0.500 Tc
```

Results
SG: F-43m (216)
Energy above the most stable polymorph in this dataset in eV per atom: 0.0274
Calculated volume in Å³/atom: 13.16
Energy relative to the elements in eV/atom: 0.097

No. 7
A relaxed structure of Cr2TcW. Source: Alexandria via LeMat-Bulk, functional GGA-PBEsol.

```
Cr2TcW
1.0
2.959 0.000 0.000
0.000 2.959 0.000
0.000 0.000 5.978
W Cr Tc
1 2 1
direct
0.500 0.500 0.763 W
0.000 0.000 0.013 Cr
0.500 0.500 0.235 Cr
0.000 0.000 0.489 Tc
```

Results
SG: P4mm (99)
Energy above the most stable polymorph in this dataset in eV per atom: 0.0000
Calculated volume in Å³/atom: 13.09
Energy relative to the elements in eV/atom: 0.070

No. 8
A relaxed structure of Cr2TcW. Source: Alexandria via LeMat-Bulk, functional GGA-PBEsol.

```
Cr2TcW
1.0
-0.186 -1.792 2.390
-0.207 -3.312 -2.499
4.231 -0.328 0.084
Tc Cr W
1 2 1
direct
0.500 0.500 0.000 Tc
0.500 0.000 0.500 Cr
0.000 0.000 0.000 Cr
0.000 0.500 0.500 W
```

Results
SG: Pmmm (47)
Energy above the most stable polymorph in this dataset in eV per atom: 0.0311
Calculated volume in Å³/atom: 13.19
Energy relative to the elements in eV/atom: 0.101

No. 9
A relaxed structure of Cr2TcW. Source: Alexandria via LeMat-Bulk, functional GGA-PBEsol.

```
Cr2TcW
1.0
2.965 0.000 0.000
0.000 4.194 0.000
0.000 0.000 4.194
Cr Tc W
2 1 1
direct
0.000 0.000 0.500 Cr
0.000 0.500 0.000 Cr
0.500 0.500 0.500 Tc
0.500 0.000 0.000 W
```

Results
SG: P4/mmm (123)
Energy above the most stable polymorph in this dataset in eV per atom: 0.0018
Calculated volume in Å³/atom: 13.04
Energy relative to the elements in eV/atom: 0.072

No. 10
A relaxed structure of Cr2TcW. Source: Alexandria via LeMat-Bulk, functional GGA-PBEsol.

```
Cr2TcW
1.0
2.990 0.000 0.000
0.000 4.244 0.000
-1.495 -2.122 4.159
W Tc Cr
1 1 2
direct
0.500 0.000 0.000 W
0.000 0.500 0.000 Tc
0.752 0.752 0.505 Cr
0.248 0.248 0.495 Cr
```

Results
SG: Immm (71)
Energy above the most stable polymorph in this dataset in eV per atom: 0.0304
Calculated volume in Å³/atom: 13.19
Energy relative to the elements in eV/atom: 0.100

No. 11
A relaxed structure of Y2CrTc. Source: Alexandria via LeMat-Bulk, functional GGA-PBEsol.

```
Y2CrTc
1.0
4.781 0.000 0.000
2.390 4.140 0.000
2.390 1.380 3.904
Tc Y Cr
1 2 1
direct
0.250 0.250 0.250 Tc
0.000 0.000 0.000 Y
0.750 0.750 0.750 Y
0.500 0.500 0.500 Cr
```

Results
SG: F-43m (216)
Calculated volume in Å³/atom: 19.32
Energy relative to the elements in eV/atom: 0.523

No. 12
A relaxed structure of YCr2Tc. Source: Alexandria via LeMat-Bulk, functional GGA-PBEsol.

```
YCr2Tc
1.0
2.966 0.000 0.004
0.000 3.615 0.000
-1.206 0.000 5.970
Cr Tc Y
2 1 1
direct
0.114 0.000 0.072 Cr
0.455 0.500 0.240 Cr
0.904 0.000 0.431 Tc
0.527 0.500 0.757 Y
```

Results
SG: Pm (6)
Calculated volume in Å³/atom: 16.01
Energy relative to the elements in eV/atom: 0.406

- What is the calculated volume in the twelfth record?
  16.01 Å³/atom

- Which value of energy relative to the elements does entry 7 give?
  0.070 eV/atom

- Which formula does entry 3 have?
  V2CrTc